[1]
DFT (GGA-PBE) results for crystalline RbNiAg3 at its relaxed geometry.

Cell: 5.713 5.713 5.713 Å, 90.00 90.00 90.00°
Fractional positions:
Ag1 0.000 0.000 0.500
Ag2 0.000 0.500 0.000
Ag3 0.500 0.000 0.000
Ni1 0.500 0.500 0.500
Rb1 0.000 0.000 0.000

Summary:
- Calculated density: 4.165 g cm⁻³
- Energy of formation: 9.01 eV/f.u.
- Fermi-level density of states: 5.2 states/eV/cell
- Final energy: -1.2579 eV per atom
- Spin magnetization: 0.0 μB/f.u.

[2]
DFT (GGA-PBE) results for crystalline RbNi3Ag at its relaxed geometry.

Cell: 4.645 4.645 4.645 Å, 90.00 90.00 90.00°
Fractional positions:
Ni1 0.500 0.000 0.000
Ni2 0.000 0.500 0.000
Ni3 0.000 0.000 0.500
Ag1 0.500 0.500 0.500
Rb1 0.000 0.000 0.000

Summary:
- Calculated density: 6.121 g cm⁻³
- Energy of formation: 10.48 eV/f.u.
- Fermi-level density of states: 2.2 states/eV/cell
- Final energy: -2.1366 eV per atom
- Spin magnetization: 0.0 μB/f.u.

[3]
DFT (GGA-PBE) results for crystalline Rb2ReNiAg at its relaxed geometry.

Cell: 6.826 4.469 6.826 Å, 90.00 90.00 90.00°
Each line ends with the local moment (μB).
Fractional positions:
Ag1 0.500 0.500 0.500  0.01
Ni1 0.000 0.500 0.000  0.39
Rb1 0.000 0.000 0.500  0.01
Rb2 0.500 0.000 0.000  0.02
Re1 0.000 0.000 0.000  2.11

Summary:
- Calculated density: 4.176 g cm⁻³
- Energy of formation: 6.77 eV/f.u.
- Fermi-level density of states: 3.8 states/eV/cell
- Final energy: -3.2499 eV per atom
- Spin magnetization: 3.2 μB/f.u.

[4]
DFT (GGA-PBE) results for crystalline RbNiAgS2 at its relaxed geometry.

Cell: 5.697 6.717 7.212 Å, 90.00 90.00 115.09°
Fractional positions:
S1 0.581 0.163 0.193
S2 0.919 0.837 0.193
S3 0.081 0.163 0.807
S4 0.419 0.837 0.807
Ni1 0.750 0.000 0.000
Ni2 0.250 0.000 0.000
Rb1 0.250 0.500 0.210
Rb2 0.750 0.500 0.790
Ag1 0.000 0.000 0.500
Ag2 0.500 0.000 0.500

Summary:
- Calculated density: 4.202 g cm⁻³
- Fermi-level density of states: 4.8 states/eV/cell
- Formation energy from raw total energies: -0.4822 eV/atom
- Final energy: -4.0532 eV per atom
- Spin magnetization: 0.0 μB/f.u.

[5]
DFT (GGA-PBE) results for crystalline RbNiAgSe2 at its relaxed geometry.

Cell: 5.854 6.906 7.560 Å, 90.00 90.00 115.08°
Fractional positions:
Ag1 0.500 0.000 0.500
Ag2 0.000 0.000 0.500
Se1 0.413 0.826 0.805
Se2 0.913 0.826 0.195
Se3 0.087 0.174 0.805
Se4 0.587 0.174 0.195
Ni1 0.750 0.000 0.000
Ni2 0.250 0.000 0.000
Rb1 0.250 0.500 0.212
Rb2 0.750 0.500 0.788

Summary:
- Calculated density: 4.919 g cm⁻³
- Fermi-level density of states: 6.1 states/eV/cell
- Formation energy from raw total energies: -0.4525 eV/atom
- Final energy: -3.7663 eV per atom
- Spin magnetization: 0.0 μB/f.u.

[6]
DFT (GGA-PBE) results for crystalline RbNi2AgSn at its relaxed geometry.

Cell: 4.952 5.395 4.952 Å, 90.00 90.00 90.00°
Each line ends with the local moment (μB).
Fractional positions:
Rb1 0.500 0.500 0.500  0.00
Ni1 0.500 0.000 0.000  0.61
Ni2 0.000 0.000 0.500  0.40
Sn1 0.000 0.000 0.000  0.01
Ag1 0.000 0.500 0.000  0.02

Summary:
- Calculated density: 5.391 g cm⁻³
- Energy of formation: 2.67 eV/f.u.
- Fermi-level density of states: 4.6 states/eV/cell
- Final energy: -3.3423 eV per atom
- Spin magnetization: 1.1 μB/f.u.

[7]
DFT (GGA-PBE) results for crystalline RbYNi2Ag at its relaxed geometry.

Cell: 4.774 5.524 4.774 Å, 90.00 90.00 90.00°
Fractional positions:
Ni1 0.500 0.000 0.000
Ni2 0.000 0.000 0.500
Rb1 0.000 0.000 0.000
Y1 0.500 0.500 0.500
Ag1 0.000 0.500 0.000

Summary:
- Calculated density: 5.270 g cm⁻³
- Energy of formation: 7.20 eV/f.u.
- Fermi-level density of states: 4.7 states/eV/cell
- Final energy: -2.9290 eV per atom
- Spin magnetization: 0.0 μB/f.u.

[8]
DFT (GGA-PBE) results for crystalline Rb2ZrNiAg at its relaxed geometry.

Cell: 5.796 5.054 5.796 Å, 90.00 90.00 90.00°
Each line ends with the local moment (μB).
Fractional positions:
Rb1 0.000 0.000 0.500  0.03
Rb2 0.500 0.000 0.000  0.03
Zr1 0.500 0.500 0.500  1.70
Ni1 0.000 0.000 0.000  -0.09
Ag1 0.000 0.500 0.000  -0.01

Summary:
- Calculated density: 4.193 g cm⁻³
- Energy of formation: 6.67 eV/f.u.
- Fermi-level density of states: 11.8 states/eV/cell
- Final energy: -2.4892 eV per atom
- Spin magnetization: 3.0 μB/f.u.

[9]
DFT (GGA-PBE) results for crystalline ReNiAg2 at its relaxed geometry.

Cell: 2.739 2.739 8.144 Å, 90.00 90.00 90.00°
Fractional positions:
Ni1 0.000 0.000 0.518
Ag1 0.500 0.500 0.272
Ag2 0.000 0.000 0.992
Re1 0.500 0.500 0.718

Summary:
- Calculated density: 12.516 g cm⁻³
- Energy of formation: 1.02 eV/f.u.
- Fermi-level density of states: 3.8 states/eV/cell
- Final energy: -5.7270 eV per atom
- Spin magnetization: 0.0 μB/f.u.

[10]
DFT (GGA-PBE) results for crystalline ReNiAg2 at its relaxed geometry.

Cell: 2.673 2.673 8.529 Å, 90.00 90.00 90.00°
Each line ends with the local moment (μB).
Fractional positions:
Ag1 0.000 0.000 0.483  0.01
Ag2 0.000 0.000 0.017  0.01
Ni1 0.500 0.500 0.250  0.48
Re1 0.500 0.500 0.750  0.10

Summary:
- Calculated density: 12.550 g cm⁻³
- Energy of formation: 2.26 eV/f.u.
- Fermi-level density of states: 4.8 states/eV/cell
- Final energy: -5.4181 eV per atom
- Spin magnetization: 0.6 μB/f.u.

[11]
DFT (GGA-PBE) results for crystalline ReNiAg2 at its relaxed geometry.

Cell: 4.798 2.654 4.836 Å, 87.10 90.00 90.00°
Each line ends with the local moment (μB).
Fractional positions:
Re1 0.500 0.750 0.750  0.42
Ag1 0.000 0.024 0.003  0.02
Ag2 0.000 0.476 0.497  0.02
Ni1 0.500 0.250 0.250  0.28

Summary:
- Calculated density: 12.438 g cm⁻³
- Energy of formation: 2.40 eV/f.u.
- Fermi-level density of states: 4.3 states/eV/cell
- Final energy: -5.3840 eV per atom
- Spin magnetization: 0.8 μB/f.u.

[12]
DFT (GGA-PBE) results for crystalline ReNi4Ag at its relaxed geometry.

Cell: 4.726 4.726 4.726 Å, 60.00 60.00 60.00°
Each line ends with the local moment (μB).
Fractional positions:
Re1 0.750 0.750 0.750  0.40
Ni1 0.375 0.874 0.375  0.27
Ni2 0.375 0.375 0.375  0.27
Ni3 0.874 0.375 0.375  0.27
Ni4 0.375 0.375 0.874  0.27
Ag1 0.000 0.000 0.000  0.01

Summary:
- Calculated density: 11.762 g cm⁻³
- Energy of formation: 1.67 eV/f.u.
- Fermi-level density of states: 9.0 states/eV/cell
- Final energy: -6.1253 eV per atom
- Spin magnetization: 1.4 μB/f.u.

[13]
DFT (GGA-PBE) results for crystalline Re2NiAg at its relaxed geometry.

Cell: 3.109 3.109 6.193 Å, 90.00 90.00 90.00°
Fractional positions:
Ni1 0.500 0.500 0.750
Ag1 0.500 0.500 0.250
Re1 0.000 0.000 0.947
Re2 0.000 0.000 0.553

Summary:
- Calculated density: 14.953 g cm⁻³
- Energy of formation: 2.32 eV/f.u.
- Fermi-level density of states: 2.0 states/eV/cell
- Final energy: -7.8021 eV per atom
- Spin magnetization: 0.0 μB/f.u.

[14]
DFT (GGA-PBE) results for crystalline ReNiAg2 at its relaxed geometry.

Cell: 5.581 5.581 5.581 Å, 151.95 129.21 59.02°
Fractional positions:
Re1 0.279 0.779 0.500
Ni1 0.487 0.487 0.000
Ag1 0.007 0.007 0.000
Ag2 0.727 0.227 0.500

Summary:
- Calculated density: 12.162 g cm⁻³
- Energy of formation: 2.37 eV/f.u.
- Fermi-level density of states: 3.9 states/eV/cell
- Final energy: -5.3897 eV per atom
- Spin magnetization: 0.0 μB/f.u.

[15]
DFT (GGA-PBE) results for crystalline ReNiAg4 at its relaxed geometry.

Cell: 5.296 5.296 5.296 Å, 60.00 60.00 60.00°
Each line ends with the local moment (μB).
Fractional positions:
Ag1 0.375 0.875 0.375  0.02
Ag2 0.375 0.375 0.875  0.02
Ag3 0.375 0.375 0.375  0.02
Ag4 0.875 0.375 0.375  0.02
Ni1 0.750 0.750 0.750  0.53
Re1 0.000 0.000 0.000  2.22

Summary:
- Calculated density: 10.695 g cm⁻³
- Energy of formation: 5.74 eV/f.u.
- Fermi-level density of states: 3.0 states/eV/cell
- Final energy: -3.9817 eV per atom
- Spin magnetization: 3.0 μB/f.u.

[16]
DFT (GGA-PBE) results for crystalline ReNiAg2 at its relaxed geometry.

Cell: 2.647 4.308 5.364 Å, 90.00 90.00 90.00°
Fractional positions:
Ag1 0.000 0.000 0.003
Ag2 0.000 0.000 0.497
Ni1 0.500 0.500 0.250
Re1 0.500 0.500 0.750

Summary:
- Calculated density: 12.505 g cm⁻³
- Energy of formation: 2.62 eV/f.u.
- Fermi-level density of states: 4.7 states/eV/cell
- Final energy: -5.3285 eV per atom
- Spin magnetization: 0.0 μB/f.u.

[17]
DFT (GGA-PBE) results for crystalline Re3NiAg at its relaxed geometry.

Cell: 4.437 4.437 4.437 Å, 90.00 90.00 90.00°
Fractional positions:
Ni1 0.000 0.000 0.000
Re1 0.500 0.000 0.000
Re2 0.000 0.000 0.500
Re3 0.000 0.500 0.000
Ag1 0.500 0.500 0.500

Summary:
- Calculated density: 13.790 g cm⁻³
- Energy of formation: 9.18 eV/f.u.
- Fermi-level density of states: 5.6 states/eV/cell
- Final energy: -7.3586 eV per atom
- Spin magnetization: 0.0 μB/f.u.

[18]
DFT (GGA-PBE) results for crystalline Re2NiAg at its relaxed geometry.

Cell: 4.201 3.718 3.718 Å, 90.00 90.00 90.00°
Fractional positions:
Ni1 0.500 0.000 0.500
Ag1 0.500 0.500 0.000
Re1 0.000 0.000 0.000
Re2 0.000 0.500 0.500

Summary:
- Calculated density: 15.410 g cm⁻³
- Energy of formation: 2.09 eV/f.u.
- Fermi-level density of states: 3.4 states/eV/cell
- Final energy: -7.8595 eV per atom
- Spin magnetization: 0.0 μB/f.u.

[19]
DFT (GGA-PBE) results for crystalline ReNiAg2 at its relaxed geometry.

Cell: 5.125 5.125 2.638 Å, 90.00 90.00 117.28°
Each line ends with the local moment (μB).
Fractional positions:
Ag1 0.500 0.500 0.000  0.02
Ag2 0.000 0.000 0.000  0.02
Ni1 0.500 0.000 0.500  0.46
Re1 0.000 0.500 0.500  0.32

Summary:
- Calculated density: 12.419 g cm⁻³
- Energy of formation: 2.58 eV/f.u.
- Fermi-level density of states: 5.3 states/eV/cell
- Final energy: -5.3368 eV per atom
- Spin magnetization: 0.9 μB/f.u.

[20]
DFT (GGA-PBE) results for crystalline ReNi2Ag at its relaxed geometry.

Cell: 2.684 2.684 7.545 Å, 90.00 90.00 90.00°
Fractional positions:
Ni1 0.000 0.000 0.482
Ni2 0.000 0.000 0.018
Ag1 0.500 0.500 0.750
Re1 0.500 0.500 0.250

Summary:
- Calculated density: 12.572 g cm⁻³
- Energy of formation: 0.42 eV/f.u.
- Fermi-level density of states: 3.6 states/eV/cell
- Final energy: -6.6116 eV per atom
- Spin magnetization: 0.0 μB/f.u.

[21]
DFT (GGA-PBE) results for crystalline ReNiAg2 at its relaxed geometry.

Cell: 5.068 5.068 5.068 Å, 135.98 135.98 64.01°
Each line ends with the local moment (μB).
Fractional positions:
Ag1 0.000 0.000 0.000  0.10
Ag2 0.500 0.500 0.000  0.10
Ni1 0.250 0.750 0.500  0.69
Re1 0.750 0.250 0.500  1.64

Summary:
- Calculated density: 12.331 g cm⁻³
- Energy of formation: 3.13 eV/f.u.
- Fermi-level density of states: 3.2 states/eV/cell
- Final energy: -5.1993 eV per atom
- Spin magnetization: 2.7 μB/f.u.

[22]
DFT (GGA-PBE) results for crystalline ReNi2Ag at its relaxed geometry.

Cell: 8.856 8.856 8.856 Å, 17.58 17.58 17.58°
Each line ends with the local moment (μB).
Fractional positions:
Ag1 0.746 0.746 0.746  0.01
Ni1 0.252 0.252 0.252  0.30
Ni2 0.994 0.994 0.994  0.09
Re1 0.509 0.509 0.509  0.23

Summary:
- Calculated density: 12.354 g cm⁻³
- Energy of formation: 1.25 eV/f.u.
- Fermi-level density of states: 4.9 states/eV/cell
- Final energy: -6.4037 eV per atom
- Spin magnetization: 0.6 μB/f.u.

[23]
DFT (GGA-PBE) results for crystalline ReNi2Ag at its relaxed geometry.

Cell: 4.790 4.790 4.581 Å, 75.87 75.87 31.98°
Fractional positions:
Ni1 0.019 0.019 0.022
Ni2 0.739 0.739 0.715
Ag1 0.260 0.260 0.208
Re1 0.483 0.483 0.555

Summary:
- Calculated density: 12.694 g cm⁻³
- Energy of formation: 1.19 eV/f.u.
- Fermi-level density of states: 3.7 states/eV/cell
- Final energy: -6.4175 eV per atom
- Spin magnetization: 0.0 μB/f.u.

[24]
DFT (GGA-PBE) results for crystalline ReNiAg2 at its relaxed geometry.

Cell: 4.964 4.964 4.808 Å, 81.65 81.65 31.30°
Each line ends with the local moment (μB).
Fractional positions:
Re1 0.750 0.750 0.750  0.45
Ag1 0.503 0.503 0.497  0.02
Ag2 0.997 0.997 0.003  0.02
Ni1 0.250 0.250 0.250  0.25

Summary:
- Calculated density: 12.571 g cm⁻³
- Energy of formation: 2.22 eV/f.u.
- Fermi-level density of states: 4.5 states/eV/cell
- Final energy: -5.4289 eV per atom
- Spin magnetization: 0.8 μB/f.u.

[25]
DFT (GGA-PBE) results for crystalline ReNiAg2 at its relaxed geometry.

Cell: 3.696 2.699 6.842 Å, 66.88 90.00 90.00°
Fractional positions:
Ni1 0.000 0.458 0.541
Re1 0.500 0.792 0.707
Ag1 0.000 0.013 0.988
Ag2 0.500 0.237 0.264

Summary:
- Calculated density: 12.189 g cm⁻³
- Energy of formation: 1.68 eV/f.u.
- Fermi-level density of states: 2.5 states/eV/cell
- Final energy: -5.5638 eV per atom
- Spin magnetization: 0.0 μB/f.u.

[26]
DFT (GGA-PBE) results for crystalline ReNi2Ag at its relaxed geometry.

Cell: 8.788 8.788 8.788 Å, 17.78 17.78 17.78°
Fractional positions:
Re1 0.250 0.250 0.250
Ni1 0.996 0.996 0.996
Ni2 0.504 0.504 0.504
Ag1 0.750 0.750 0.750

Summary:
- Calculated density: 12.369 g cm⁻³
- Energy of formation: 0.81 eV/f.u.
- Fermi-level density of states: 5.0 states/eV/cell
- Final energy: -6.5121 eV per atom
- Spin magnetization: 0.0 μB/f.u.

[27]
DFT (GGA-PBE) results for crystalline ReNi2Ag at its relaxed geometry.

Cell: 4.608 6.159 2.638 Å, 64.60 90.02 123.06°
Each line ends with the local moment (μB).
Fractional positions:
Re1 0.500 0.500 0.000  0.10
Ag1 0.500 0.000 0.500  0.00
Ni1 0.000 0.000 0.000  0.07
Ni2 0.000 0.500 0.500  0.07

Summary:
- Calculated density: 12.671 g cm⁻³
- Energy of formation: 1.35 eV/f.u.
- Fermi-level density of states: 5.3 states/eV/cell
- Final energy: -6.3771 eV per atom
- Spin magnetization: 0.3 μB/f.u.

[28]
DFT (GGA-PBE) results for crystalline Re2NiAg at its relaxed geometry.

Cell: 2.769 2.769 7.697 Å, 90.00 90.00 90.00°
Fractional positions:
Re1 0.500 0.500 0.229
Re2 0.000 0.000 0.990
Ni1 0.500 0.500 0.766
Ag1 0.000 0.000 0.515

Summary:
- Calculated density: 15.167 g cm⁻³
- Energy of formation: 1.22 eV/f.u.
- Fermi-level density of states: 3.9 states/eV/cell
- Final energy: -8.0764 eV per atom
- Spin magnetization: 0.0 μB/f.u.

[29]
DFT (GGA-PBE) results for crystalline ReNi2Ag at its relaxed geometry.

Cell: 4.723 4.723 4.723 Å, 133.87 133.87 67.30°
Each line ends with the local moment (μB).
Fractional positions:
Ni1 0.250 0.750 0.500  0.08
Ni2 0.000 0.000 0.000  0.18
Re1 0.500 0.500 0.000  0.34
Ag1 0.750 0.250 0.500  0.03

Summary:
- Calculated density: 12.688 g cm⁻³
- Energy of formation: 2.10 eV/f.u.
- Fermi-level density of states: 5.7 states/eV/cell
- Final energy: -6.1894 eV per atom
- Spin magnetization: 0.6 μB/f.u.